# K2Mg2Hg

A relaxed K2Mg2Hg crystal (PBE, Alexandria via LeMat-Bulk).

- offset from the most stable computed form (meV/atom) = 32.0
- mass density (kg/m³) = 2768
- calculated volume (Å³/cell) = 196
- ΔH_f (0 K) (eV per atom) = 0.071
- raw total energy (eV/atom) = -1.066
- magnetic moment (μB per atom) = 0.000
- space group = No. 139

Cell: 4.2557 4.2557 11.2530 Å, 79.10 79.10 90.00°
Sites, in units of the cell vectors:
1 Mg 0.7500 0.2500 0.5000
2 Mg 0.2500 0.7500 0.5000
3 K 0.3998 0.3998 0.2005
4 K 0.6002 0.6002 0.7995
5 Hg 0.0000 0.0000 0.0000

---

# B2TeF2

A relaxed B2TeF2 crystal (PBE, Alexandria via LeMat-Bulk).

- offset from the most stable computed form (meV/atom) = 0.0
- mass density (kg/m³) = 4398
- calculated volume (Å³/cell) = 141
- raw formation energy (eV per atom) = -0.017
- raw total energy (eV/atom) = -4.065
- magnetic moment (μB per atom) = 0.000
- space group = No. 127

Cell: 7.1151 7.1151 2.7925 Å, 90.00 90.00 90.00°
Sites, in units of the cell vectors:
1 B 0.2195 0.7195 0.0000
2 B 0.7195 0.7805 0.0000
3 B 0.7805 0.2805 0.0000
4 B 0.2805 0.2195 0.0000
5 Te 0.0000 0.0000 0.0000
6 Te 0.5000 0.5000 0.0000
7 F 0.1253 0.6253 0.5000
8 F 0.6253 0.8747 0.5000
9 F 0.8747 0.3747 0.5000
10 F 0.3747 0.1253 0.5000

---

# HfSc2Ag

A relaxed HfSc2Ag crystal (PBE, Alexandria via LeMat-Bulk).

- offset from the most stable computed form (meV/atom) = 177.8
- mass density (kg/m³) = 7269
- calculated volume (Å³/cell) = 86
- ΔH_f (0 K) (eV per atom) = 0.054
- raw total energy (eV/atom) = -6.313
- magnetic moment (μB per atom) = 0.000
- space group = No. 123

Cell: 3.3492 5.0661 5.0661 Å, 90.00 90.00 90.00°
Sites, in units of the cell vectors:
1 Sc 0.0000 0.0000 0.5000
2 Sc 0.0000 0.5000 0.0000
3 Hf 0.5000 0.5000 0.5000
4 Ag 0.5000 0.0000 0.0000

---

# NpScPaAl

A relaxed NpScPaAl crystal (PBE, Alexandria via LeMat-Bulk).

- mass density (kg/m³) = 10273
- calculated volume (Å³/cell) = 87
- ΔH_f (0 K) (eV per atom) = 0.174
- raw total energy (eV/atom) = -7.954
- magnetic moment (μB per atom) = 1.366
- space group = No. 216

Cell: 4.9790 4.9790 4.9790 Å, 60.00 60.00 60.00°
Last column: magnetic moment on the atom in μB.
Sites, in units of the cell vectors:
1 Np 0.7500 0.7500 0.7500  3.85
2 Sc 0.2500 0.2500 0.2500  0.11
3 Pa 0.5000 0.5000 0.5000  1.09
4 Al 0.0000 0.0000 0.0000  -0.03

---

# Tl6Ga3I14

A relaxed Tl6Ga3I14 crystal (PBE, Alexandria via LeMat-Bulk).

- mass density (kg/m³) = 5332
- calculated volume (Å³/cell) = 1000
- raw formation energy (eV per atom) = -0.561
- raw total energy (eV/atom) = -2.517
- magnetic moment (μB per atom) = 0.000
- space group = No. 143

Cell: 6.9838 12.8609 12.8609 Å, 120.00 90.00 90.00°
Sites, in units of the cell vectors:
1 Tl 0.2395 0.7835 0.1100
2 Tl 0.2395 0.8900 0.6735
3 Tl 0.2395 0.3265 0.2165
4 Tl 0.7453 0.5473 0.5546
5 Tl 0.7453 0.4454 0.9927
6 Tl 0.7453 0.0073 0.4527
7 Ga 0.8384 0.0000 0.0000
8 Ga 0.3464 0.3333 0.6667
9 Ga 0.4885 0.6667 0.3333
10 I 0.9676 0.0755 0.2160
11 I 0.9676 0.7840 0.8595
12 I 0.9676 0.1405 0.9245
13 I 0.4760 0.2549 0.4503
14 I 0.4760 0.5497 0.8046
15 I 0.4760 0.1954 0.7451
16 I 0.4705 0.0000 0.0000
17 I 0.9786 0.3333 0.6667
18 I 0.7233 0.7454 0.1836
19 I 0.7233 0.8164 0.5619
20 I 0.7233 0.4381 0.2546
21 I 0.2551 0.5897 0.4850
22 I 0.2551 0.5150 0.1048
23 I 0.2551 0.8952 0.4103

---

# CuSn2Mo

A relaxed CuSn2Mo crystal (PBE, Alexandria via LeMat-Bulk).

- offset from the most stable computed form (meV/atom) = 170.5
- mass density (kg/m³) = 8206
- calculated volume (Å³/cell) = 161
- ΔH_f (0 K) (eV per atom) = 0.640
- raw total energy (eV/atom) = -5.093
- magnetic moment (μB per atom) = 0.251
- space group = No. 122

Cell: 7.3301 7.3301 5.9836 Å, 52.23 52.23 90.00°
Last column: magnetic moment on the atom in μB.
Sites, in units of the cell vectors:
1 Mo 0.0000 0.0000 0.0000  0.87
2 Mo 0.7500 0.2500 0.5000  0.90
3 Sn 0.5990 0.1250 0.2500  0.00
4 Sn 0.1510 0.6250 0.2500  0.01
5 Sn 0.3750 0.4010 0.7500  0.00
6 Sn 0.8750 0.8490 0.7500  0.00
7 Cu 0.5000 0.5000 0.0000  0.01
8 Cu 0.2500 0.7500 0.5000  0.01

---

# La4CePm3Te8

A relaxed La4CePm3Te8 crystal (PBE, Alexandria via LeMat-Bulk).

- mass density (kg/m³) = 6800
- calculated volume (Å³/cell) = 525
- raw formation energy (eV per atom) = -1.498
- raw total energy (eV/atom) = -5.562
- magnetic moment (μB per atom) = 0.080
- space group = No. 166

Cell: 9.0621 9.0526 9.0595 Å, 120.01 120.01 90.00°
Last column: magnetic moment on the atom in μB.
Sites, in units of the cell vectors:
1 La 0.5000 0.0000 0.0000  0.02
2 La 0.5000 0.0000 0.5000  0.02
3 La 0.0000 0.0000 0.0000  0.02
4 La 0.0000 0.0000 0.5000  0.02
5 Ce 0.0000 0.5000 0.0000  0.92
6 Pm 0.5000 0.5000 0.0000  0.01
7 Pm 0.5000 0.5000 0.5000  0.01
8 Pm 0.0000 0.5000 0.5000  0.01
9 Te 0.2479 0.7430 0.9951  0.00
10 Te 0.2480 0.7430 0.4960  0.00
11 Te 0.2524 0.2572 0.5049  0.00
12 Te 0.7472 0.7430 0.9951  0.00
13 Te 0.2528 0.2570 0.0049  0.00
14 Te 0.7476 0.7428 0.4951  0.00
15 Te 0.7520 0.2570 0.5040  0.00
16 Te 0.7521 0.2570 0.0049  0.00

---

# Pu3Si3Pt

A relaxed Pu3Si3Pt crystal (PBE, Alexandria via LeMat-Bulk).

- mass density (kg/m³) = 11681
- calculated volume (Å³/cell) = 288
- raw formation energy (eV per atom) = -0.614
- raw total energy (eV/atom) = -9.943
- magnetic moment (μB per atom) = 2.391
- space group = No. 12

Cell: 4.2914 5.6574 12.9827 Å, 84.98 80.49 67.71°
Last column: magnetic moment on the atom in μB.
Sites, in units of the cell vectors:
1 Pu 0.5228 0.3245 0.6298  5.13
2 Pu 0.4772 0.6755 0.3702  5.13
3 Pu 0.2471 0.2815 0.2243  5.31
4 Pu 0.7529 0.7185 0.7757  5.31
5 Pu 0.3978 0.2852 0.9191  5.32
6 Pu 0.6022 0.7148 0.0809  5.32
7 Si 0.8717 0.7201 0.5365  -0.04
8 Si 0.1283 0.2799 0.4635  -0.04
9 Si 0.1066 0.8598 0.9270  -0.06
10 Si 0.8934 0.1402 0.0730  -0.06
11 Si 0.9501 0.8695 0.2303  -0.07
12 Si 0.0499 0.1305 0.7697  -0.07
13 Pt 0.7490 0.1045 0.3975  -0.04
14 Pt 0.2510 0.8955 0.6025  -0.04

---

Q: What is the mass density in the third record?
A: 7269 kg/m³